[1]
Below is a relaxed Tl2Au2Br crystal, with properties calculated at the GGA-PBE level.

POSCAR file:
```
Tl2Au2Br
1.0
-1.971 1.971 9.087
1.971 -1.971 9.087
1.971 1.971 -9.087
Tl Au Br
2 2 1
Cartesian
0.000 0.000 1.979
0.000 0.000 16.194
1.971 0.000 4.543
0.000 1.971 4.543
0.000 0.000 9.087
```

## Properties
Space-group type: I4/mmm (139)
Raw formation energy (eV/atom): -0.2795

[2]
Below is a relaxed La5AgHg2Ru2 crystal, with properties calculated at the GGA-PBE level.

POSCAR file:
```
La5AgHg2Ru2
1.0
12.105 0.000 0.000
0.000 12.105 0.000
0.000 0.000 3.822
La Ag Hg Ru
10 2 4 4
Cartesian
0.000 6.052 0.000
0.922 2.522 0.000
2.522 11.182 0.000
3.531 5.130 0.000
5.130 8.574 0.000
6.052 0.000 0.000
6.975 3.531 0.000
8.574 6.975 0.000
9.583 0.922 0.000
11.182 9.583 0.000
0.000 0.000 1.911
6.052 6.052 1.911
2.178 8.230 1.911
3.875 2.178 1.911
8.230 9.927 1.911
9.927 3.875 1.911
1.602 4.451 1.911
4.451 10.503 1.911
7.654 1.602 1.911
10.503 7.654 1.911
```

## Properties
Space-group type: P4/mbm (127)
E_form (eV per atom): -0.316

[3]
Below is a relaxed Cr4Ru5 crystal, with properties calculated at the GGA-PBE level.

POSCAR file:
```
Cr4Ru5
1.0
-3.968 3.968 1.875
3.968 -3.968 1.875
3.968 3.968 -1.875
Cr Ru
4 5
Cartesian
2.643 0.000 0.000
5.293 0.000 0.000
0.000 2.643 0.000
0.000 5.293 0.000
0.000 0.000 0.000
2.634 2.634 0.000
1.334 -1.334 1.875
-1.334 1.334 1.875
1.334 1.334 1.875
```

## Properties
Space-group type: I4/mmm (139)
E_form (eV per atom): 0.152

[4]
Below is a relaxed Ac3Tl5Rh6 crystal, with properties calculated at the GGA-PBE level.

POSCAR file:
```
Ac3Tl5Rh6
1.0
-2.369 4.991 6.866
2.369 -4.991 6.866
2.369 4.991 -6.866
Ac Tl Rh
3 5 6
Cartesian
0.000 0.000 0.000
0.000 0.000 4.471
0.000 0.000 9.262
2.369 -1.573 2.501
2.369 1.573 2.501
0.000 4.991 0.000
0.000 3.418 4.365
0.000 6.564 4.365
2.369 -2.329 5.413
2.369 2.933 0.000
0.000 2.662 1.454
2.369 2.329 5.413
0.000 2.058 6.866
0.000 7.320 1.454
```

## Properties
Space-group type: Immm (71)
E_form (eV per atom): -0.355